La2PrCd6, relaxed, DFT PBE-GGA; formation energy from the elements = -0.37 eV/atom; space group = No. 191; density of states at the Fermi level = 7.9 states/eV/f.u.; V = 26.722 A^3/atom; DFT total energy = -23.420 eV for the cell shown
1.0
8.899 0.000 0.000
-4.450 7.707 0.000
0.000 0.000 3.507
La Pr Cd
2 1 6
Direct
0.333 0.667 0.000
0.667 0.333 0.000
0.000 0.000 0.000
0.000 0.332 0.500
0.000 0.668 0.500
0.332 0.000 0.500
0.332 0.332 0.500
0.668 0.000 0.500
0.668 0.668 0.500